# 1
First-principles (PBE) data for crystalline Tb2Pm5Sm at its relaxed geometry, as listed in Alexandria.

The calculated total energy comes out at -4.562 eV/atom. The value obtained for the formation energy is 119 kJ/mol of formula units. As for the offset from the most stable computed form: 140.0 meV/atom.

Cell: 16.752 10.055 6.568 Å, 90.00 99.31 90.00°
Space group C2/c (No. 15)
Unique sites:
Tb: 0.078 0.245 0.126 x8
Pm: 0.000 0.444 0.750 x4
Pm: 0.096 0.094 0.643 x8
Pm: 0.201 0.412 0.520 x8
Sm: 0.250 0.250 0.000 x4

# 2
First-principles (PBE) data for crystalline BeCdAu3 at its relaxed geometry, as listed in Alexandria.

The calculated total energy comes out at -2.845 eV/atom. The value obtained for the formation energy is 24 kJ/mol of formula units. As for the offset from the most stable computed form: 180.8 meV/atom.

Cell: 4.499 4.499 4.499 Å, 90.00 90.00 90.00°
Space group Pm-3m (No. 221)
Unique sites:
Be: 0.000 0.000 0.000 x1
Cd: 0.500 0.500 0.500 x1
Au: 0.000 0.000 0.500 x3

# 3
First-principles (PBE) data for crystalline Ho2ThRu2 at its relaxed geometry, as listed in Alexandria.

The calculated total energy comes out at -7.424 eV/atom. The value obtained for the formation energy is -192 kJ/mol of formula units. As for the offset from the most stable computed form: 0.0 meV/atom.

Cell: 4.7043 4.7043 6.2487 Å, 90.00 90.00 120.00°
Space group P-3m1 (No. 164)
Unique sites:
Ho: 0.3333 0.6667 0.1539 x2
Th: 0.0000 0.0000 0.5000 x1
Ru: 0.3333 0.6667 0.6525 x2

# 4
First-principles (PBE) data for crystalline LaHoGa2Pd5 at its relaxed geometry, as listed in Alexandria.

The calculated total energy comes out at -5.392 eV/atom. The value obtained for the formation energy is -676 kJ/mol of formula units.

Cell: 4.276 4.276 9.266 Å, 90.00 90.00 90.00°
Space group P4/mmm (No. 123)
Unique sites:
La: 0.000 0.000 0.000 x1
Ho: 0.000 0.000 0.500 x1
Ga: 0.500 0.500 0.367 x2
Pd: 0.000 0.500 0.230 x4
Pd: 0.500 0.500 0.000 x1

# 5
First-principles (PBE) data for crystalline Tb2PrHo4 at its relaxed geometry, as listed in Alexandria.

The calculated total energy comes out at -4.586 eV/atom. The value obtained for the formation energy is 24 kJ/mol of formula units. As for the offset from the most stable computed form: 0.0 meV/atom.

Cell: 16.666 3.532 8.759 Å, 90.00 119.45 90.00°
Space group C2/m (No. 12)
Unique sites:
Tb: 0.070 0.000 0.430 x4
Pr: 0.000 0.000 0.000 x2
Ho: 0.143 0.500 0.836 x4
Ho: 0.206 0.500 0.295 x4

# 6
First-principles (PBE) data for crystalline ScGaTe3 at its relaxed geometry, as listed in Alexandria.

The calculated total energy comes out at -4.319 eV/atom. As for the offset from the most stable computed form: 0.0 meV/atom.

Cell: 11.319 7.422 7.283 Å, 90.00 90.00 90.00°
Space group Ama2 (No. 40)
Unique sites:
Sc: 0.000 0.000 0.000 x4
Ga: 0.250 0.017 0.511 x4
Te: 0.084 0.313 0.825 x8
Te: 0.250 0.373 0.370 x4

# 7
First-principles (PBE) data for crystalline ZrNb5Re6 at its relaxed geometry, as listed in Alexandria.

The calculated total energy comes out at -11.408 eV/atom. The value obtained for the formation energy is -319 kJ/mol of formula units.

Cell: 4.554 6.445 13.663 Å, 90.00 90.00 90.00°
Space group Immm (No. 71)
Unique sites:
Zr: 0.000 0.000 0.000 x2
Nb: 0.000 0.000 0.334 x4
Nb: 0.000 0.500 0.000 x2
Nb: 0.000 0.500 0.332 x4
Re: 0.000 0.245 0.500 x4
Re: 0.000 0.252 0.169 x8

# 8
First-principles (PBE) data for crystalline Tb2SeO2 at its relaxed geometry, as listed in Alexandria.

The calculated total energy comes out at -7.606 eV/atom.

Cell: 3.853 3.853 12.215 Å, 90.00 90.00 90.00°
Space group I4/mmm (No. 139)
Unique sites:
Tb: 0.000 0.000 0.156 x4
Se: 0.000 0.000 0.500 x2
O: 0.000 0.500 0.250 x4

# 9
First-principles (PBE) data for crystalline TcMoPt2 at its relaxed geometry, as listed in Alexandria.

The calculated total energy comes out at -8.419 eV/atom. The value obtained for the formation energy is -38 kJ/mol of formula units. As for the offset from the most stable computed form: 156.3 meV/atom.

Cell: 9.331 2.768 4.803 Å, 90.00 99.88 90.00°
Space group C2/m (No. 12)
Unique sites:
Tc: 0.000 0.000 0.000 x2
Mo: 0.000 0.500 0.500 x2
Pt: 0.249 0.500 0.248 x4

# 10
First-principles (PBE) data for crystalline LiTeI2N at its relaxed geometry, as listed in Alexandria.

The calculated total energy comes out at -2.790 eV/atom. As for the offset from the most stable computed form: 242.7 meV/atom.

Cell: 5.086 5.086 4.849 Å, 90.00 90.00 90.00°
Space group P4/mmm (No. 123)
Unique sites:
Li: 0.000 0.000 0.000 x1
Te: 0.500 0.500 0.000 x1
I: 0.000 0.500 0.500 x2
N: 0.500 0.500 0.500 x1

# 11
First-principles (PBE) data for crystalline Y12Th7Sc at its relaxed geometry, as listed in Alexandria.

The calculated total energy comes out at -6.402 eV/atom. The value obtained for the formation energy is 752 kJ/mol of formula units.

Cell: 18.7933 18.7933 6.7525 Å, 90.00 90.00 120.00°
Space group R-3 (No. 148, hexagonal axes)
Unique sites:
Y: 0.0007 0.2079 0.3180 x18
Y: 0.0121 0.5427 0.7284 x18
Th: 0.0000 0.0000 0.5000 x3
Th: 0.0130 0.1531 0.8109 x18
Sc: 0.0000 0.0000 0.0000 x3

# 12
First-principles (PBE) data for crystalline Pu2AsH at its relaxed geometry, as listed in Alexandria.

The calculated total energy comes out at -9.791 eV/atom. As for the offset from the most stable computed form: 0.0 meV/atom.

Cell: 4.271 4.271 8.379 Å, 90.00 90.00 90.00°
Space group P4/nmm (No. 129, origin choice 2)
Unique sites:
Pu: 0.250 0.250 0.130 x2
Pu: 0.250 0.750 0.500 x2
As: 0.250 0.250 0.771 x2
H: 0.250 0.250 0.399 x2

DOS(E_F) values, unit states/eV/f.u., following the record order: 13.2 1.6 3.3 5.8 10.1 2.2 6.2 0.0 5.2 2.1 29.6 15.2.